(1)
Material: ZrAgB
Method: DFT, PBE
State: relaxed

Magnetic moment: 0.00 Bohr magnetons per cell
E: -5.805 eV/atom
DFT formation energy: 220 meV per atom
SG: No. 129
V: 105 Å³ per cell

a = 4.1548 Å, b = 4.1548 Å, c = 6.1099 Å
α = 90.00°, β = 90.00°, γ = 90.00°
Closest atoms and distances in Å follow each position.
Fractional positions:
B1 0.0000 0.0000 0.5000  4 Zr 2.29
B2 0.5000 0.5000 0.5000  4 Zr 2.29
Zr1 0.0000 0.5000 0.3442  4 B 2.29
Zr2 0.5000 0.0000 0.6558  4 B 2.29
Ag1 0.0000 0.5000 0.8633  6 Zr 2.94-3.20, 4 B 3.04
Ag2 0.5000 0.0000 0.1367  6 Zr 2.94-3.20, 4 B 3.04

=====

(2)
Material: Ce3PmCo8
Method: DFT, PBE
State: relaxed

Magnetic moment: 0.00 Bohr magnetons per cell
E: -6.807 eV/atom
DFT formation energy: -190 meV per atom
SG: No. 160
V: 179 Å³ per cell

a = 5.0230 Å, b = 5.0230 Å, c = 8.6904 Å
α = 73.20°, β = 73.20°, γ = 60.00°
Closest atoms and distances in Å follow each position.
Fractional positions:
Ce1 0.3736 0.3736 0.8792  12 Co 2.89-2.95, 4 Ce 3.04-3.05
Ce2 0.0022 0.0022 0.9933  12 Co 2.88-2.96, 3 Ce 3.05, 1 Pm 3.11
Ce3 0.4972 0.4972 0.5083  12 Co 2.92-3.02, 1 Ce 3.04, 3 Pm 3.11
Pm1 0.8759 0.8759 0.3723  12 Co 2.94-2.98, 4 Ce 3.11
Co1 0.9388 0.4382 0.1848  6 Co 2.49-2.52
Co2 0.4363 0.9372 0.6894  6 Co 2.50-2.53
Co3 0.4382 0.4382 0.1848  6 Co 2.49-2.52
Co4 0.9372 0.9372 0.6894  6 Co 2.50-2.53
Co5 0.1877 0.1877 0.4368  6 Co 2.52-2.53
Co6 0.6875 0.6875 0.9376  6 Co 2.49-2.50
Co7 0.4382 0.9388 0.1848  6 Co 2.49-2.52
Co8 0.9372 0.4363 0.6894  6 Co 2.50-2.53

=====

(3)
Material: LiSmPbBr6
Method: DFT, PBE
State: relaxed

Magnetic moment: 0.00 Bohr magnetons per cell
E: -3.723 eV/atom
ΔE_f (raw): -140.78 kJ/mol of atoms
SG: No. 163
V: 595 Å³ per cell

a = 7.1937 Å, b = 7.1937 Å, c = 13.2860 Å
α = 90.00°, β = 90.00°, γ = 120.00°
Closest atoms and distances in Å follow each position.
Fractional positions:
Li1 0.3333 0.6667 0.2500  6 Br 2.78
Li2 0.6667 0.3333 0.7500  6 Br 2.78
Sm1 0.6667 0.3333 0.2500  6 Br 2.87
Sm2 0.3333 0.6667 0.7500  6 Br 2.87
Pb1 0.0000 0.0000 0.0000  6 Br 3.07
Pb2 0.0000 0.0000 0.5000  6 Br 3.07
Br1 0.6421 0.6521 0.1298  1 Li 2.78, 1 Sm 2.87, 1 Pb 3.07
Br2 0.0101 0.3579 0.1298  1 Li 2.78, 1 Sm 2.87, 1 Pb 3.07
Br3 0.3579 0.0101 0.6298  1 Li 2.78, 1 Sm 2.87, 1 Pb 3.07
Br4 0.9899 0.6421 0.8702  1 Li 2.78, 1 Sm 2.87, 1 Pb 3.07
Br5 0.3479 0.3579 0.3702  1 Li 2.78, 1 Sm 2.87, 1 Pb 3.07
Br6 0.0101 0.6521 0.3702  1 Li 2.78, 1 Sm 2.87, 1 Pb 3.07
Br7 0.6521 0.0101 0.8702  1 Li 2.78, 1 Sm 2.87, 1 Pb 3.07
Br8 0.6421 0.9899 0.3702  1 Li 2.78, 1 Sm 2.87, 1 Pb 3.07
Br9 0.9899 0.3479 0.6298  1 Li 2.78, 1 Sm 2.87, 1 Pb 3.07
Br10 0.3479 0.9899 0.1298  1 Li 2.78, 1 Sm 2.87, 1 Pb 3.07
Br11 0.6521 0.6421 0.6298  1 Li 2.78, 1 Sm 2.87, 1 Pb 3.07
Br12 0.3579 0.3479 0.8702  1 Li 2.78, 1 Sm 2.87, 1 Pb 3.07

=====

(4)
Material: Pm15AlTl4
Method: DFT, PBE
State: relaxed

Magnetic moment: 0.02 Bohr magnetons per cell
E: -4.419 eV/atom
DFT formation energy: -196 meV per atom
SG: No. 123
V: 605 Å³ per cell

a = 4.9364 Å, b = 4.9364 Å, c = 24.8148 Å
α = 90.00°, β = 90.00°, γ = 90.00°
Closest atoms and distances in Å follow each position.
Fractional positions:
Pm1 0.5000 0.5000 0.0000  8 Pm 3.43, 4 Al 3.49
Pm2 0.5000 0.5000 0.1972  4 Tl 3.49, 8 Pm 3.52-3.53
Pm3 0.5000 0.5000 0.3996  4 Tl 3.49, 8 Pm 3.51-3.52
Pm4 0.5000 0.5000 0.6004  4 Tl 3.49, 8 Pm 3.51-3.52
Pm5 0.5000 0.5000 0.8028  4 Tl 3.49, 8 Pm 3.52-3.53
Pm6 0.5000 0.0000 0.0958  8 Pm 3.43-3.52, 2 Al 3.43, 2 Tl 3.54
Pm7 0.5000 0.0000 0.2986  8 Pm 3.49-3.53, 4 Tl 3.51
Pm8 0.5000 0.0000 0.5000  8 Pm 3.49-3.51, 4 Tl 3.51
Pm9 0.5000 0.0000 0.7014  8 Pm 3.49-3.53, 4 Tl 3.51
Pm10 0.5000 0.0000 0.9042  8 Pm 3.43-3.52, 2 Al 3.43, 2 Tl 3.54
Pm11 0.0000 0.5000 0.0958  2 Al 3.43, 8 Pm 3.43-3.52, 2 Tl 3.54
Pm12 0.0000 0.5000 0.2986  8 Pm 3.49-3.53, 4 Tl 3.51
Pm13 0.0000 0.5000 0.5000  8 Pm 3.49-3.51, 4 Tl 3.51
Pm14 0.0000 0.5000 0.7014  8 Pm 3.49-3.53, 4 Tl 3.51
Pm15 0.0000 0.5000 0.9042  2 Al 3.43, 8 Pm 3.43-3.52, 2 Tl 3.54
Al1 0.0000 0.0000 0.0000  12 Pm 3.43-3.49
Tl1 0.0000 0.0000 0.1983  12 Pm 3.49-3.54
Tl2 0.0000 0.0000 0.3992  12 Pm 3.49-3.51
Tl3 0.0000 0.0000 0.6008  12 Pm 3.49-3.51
Tl4 0.0000 0.0000 0.8017  12 Pm 3.49-3.54

=====

(5)
Material: Ac2CdCuO5
Method: DFT, PBE
State: relaxed

Magnetic moment: 0.35 Bohr magnetons per cell
E: -6.189 eV/atom
ΔE_f (raw): -189.59 kJ/mol of atoms
SG: No. 127
V: 296 Å³ per cell

a = 5.6178 Å, b = 7.2570 Å, c = 7.2570 Å
α = 90.00°, β = 90.00°, γ = 90.00°
Closest atoms and distances in Å follow each position.
Fractional positions:
Ac1 0.5000 0.6803 0.1803  8 O 2.47-2.69
Ac2 0.5000 0.1803 0.3197  8 O 2.47-2.69
Ac3 0.5000 0.8197 0.6803  8 O 2.47-2.69
Ac4 0.5000 0.3197 0.8197  8 O 2.47-2.69
Cd1 0.0000 0.5000 0.5000  2 O 2.81
Cd2 0.0000 0.0000 0.0000  2 O 2.81
Cu1 0.0000 0.0000 0.5000  4 O 1.87
Cu2 0.0000 0.5000 0.0000  4 O 1.87
O1 0.5000 0.5000 0.5000  4 Ac 2.66, 2 Cd 2.81
O2 0.5000 0.0000 0.0000  4 Ac 2.66, 2 Cd 2.81
O3 0.2392 0.1261 0.6261  1 Cu 1.87
O4 0.2392 0.8739 0.3739  1 Cu 1.87
O5 0.2392 0.3739 0.1261  1 Cu 1.87
O6 0.2392 0.6261 0.8739  1 Cu 1.87
O7 0.7608 0.1261 0.6261  1 Cu 1.87
O8 0.7608 0.6261 0.8739  1 Cu 1.87
O9 0.7608 0.8739 0.3739  1 Cu 1.87
O10 0.7608 0.3739 0.1261  1 Cu 1.87

=====

(6)
Material: NbZnS2
Method: DFT, PBE
State: relaxed

Magnetic moment: 0.00 Bohr magnetons per cell
E: -5.539 eV/atom
ΔE_f (raw): -61.66 kJ/mol of atoms
SG: No. 166
V: 78 Å³ per cell

a = 8.3431 Å, b = 8.3431 Å, c = 8.3431 Å
α = 22.97°, β = 22.97°, γ = 22.97°
Closest atoms and distances in Å follow each position.
Fractional positions:
S1 0.8987 0.8987 0.8987  1 Zn 2.47, 3 Nb 2.49
S2 0.1013 0.1013 0.1013  1 Zn 2.47, 3 Nb 2.49
Nb1 0.5000 0.5000 0.5000  6 S 2.49
Zn1 0.0000 0.0000 0.0000  2 S 2.47

=====

(7)
Material: Pm6Si2Te3Pb
Method: DFT, PBE
State: relaxed

Magnetic moment: 0.00 Bohr magnetons per cell
E: -5.453 eV/atom
ΔE_f (raw): -104.12 kJ/mol of atoms
SG: No. 12
V: 367 Å³ per cell

a = 4.3770 Å, b = 8.9356 Å, c = 9.9164 Å
α = 103.66°, β = 102.75°, γ = 90.00°
Closest atoms and distances in Å follow each position.
Fractional positions:
Pm1 0.3315 0.8933 0.6631  2 Si 3.00, 3 Te 3.16-3.27, 1 Pb 3.17
Pm2 0.6736 0.5682 0.3472  3 Si 2.97-3.00, 3 Te 3.26
Pm3 0.6685 0.1067 0.3369  2 Si 3.00, 3 Te 3.16-3.27, 1 Pb 3.17
Pm4 0.0093 0.2544 0.0186  1 Si 2.98, 2 Pb 3.13, 3 Te 3.14-3.25
Pm5 0.9907 0.7456 0.9814  1 Si 2.98, 2 Pb 3.13, 3 Te 3.14-3.25
Pm6 0.3264 0.4318 0.6528  3 Si 2.97-3.00, 3 Te 3.26
Si1 0.8319 0.6641 0.6639  6 Pm 2.97-3.00
Si2 0.1681 0.3359 0.3361  6 Pm 2.97-3.00
Te1 0.5000 0.5000 0.0000  6 Pm 3.14-3.26
Te2 0.8361 0.1676 0.6722  6 Pm 3.16-3.27
Te3 0.1639 0.8324 0.3278  6 Pm 3.16-3.27
Pb1 0.5000 0.0000 0.0000  6 Pm 3.13-3.17

=====

(8)
Material: GaReIN2
Method: DFT, PBE
State: relaxed

Magnetic moment: 0.00 Bohr magnetons per cell
E: -6.086 eV/atom
ΔE to the lowest computed polymorph: 0.0 meV/atom
ΔE_f (raw): 62.64 kJ/mol of atoms
SG: No. 123
V: 91 Å³ per cell

a = 3.9698 Å, b = 3.9698 Å, c = 5.7572 Å
α = 90.00°, β = 90.00°, γ = 90.00°
Closest atoms and distances in Å follow each position.
Fractional positions:
I1 0.0000 0.0000 0.5000  4 Ga 2.81, 2 Re 2.88
Re1 0.0000 0.0000 0.0000  4 N 1.98
Ga1 0.5000 0.5000 0.5000  4 I 2.81
N1 0.0000 0.5000 0.0000  2 Re 1.98
N2 0.5000 0.0000 0.0000  2 Re 1.98